Record 1
VASP calculation (PBE-GGA) on crystalline Sr2PmMnSe5 at its relaxed geometry.

Results
total magnetic moment: 4.00 μB/f.u.

Lattice parameters (Å, degrees): 4.212 9.520 12.883 90.00 90.00 102.78
Element x y z (fractional)
Sr: 0.883 0.765 0.838
Sr: 0.121 0.243 0.688
Sr: 0.117 0.235 0.338
Sr: 0.879 0.757 0.188
Pm: 0.801 0.602 0.532
Pm: 0.199 0.398 0.032
Mn: 0.556 0.112 0.925
Mn: 0.444 0.888 0.425
Se: 0.352 0.703 0.012
Se: 0.682 0.364 0.867
Se: 0.500 0.000 0.759
Se: 0.302 0.604 0.685
Se: 0.967 0.934 0.518
Se: 0.648 0.297 0.512
Se: 0.318 0.636 0.367
Se: 0.500 0.000 0.259
Se: 0.698 0.396 0.185
Se: 0.033 0.066 0.018

Record 2
VASP calculation (PBE-GGA) on crystalline Pm3MnTl4Se8 at its relaxed geometry.

Results
total magnetic moment: 4.36 μB/f.u.

Lattice parameters (Å, degrees): 8.409 9.059 8.409 117.64 120.00 90.00
Element x y z (fractional)
Pm: 0.500 0.500 0.000
Pm: 0.500 0.500 0.500
Pm: 0.000 0.500 0.500
Mn: 0.000 0.500 0.000
Tl: 0.500 0.000 0.000
Tl: 0.500 0.000 0.500
Tl: 0.000 0.000 0.000
Tl: 0.000 0.000 0.500
Se: 0.224 0.703 0.979
Se: 0.224 0.703 0.448
Se: 0.262 0.285 0.523
Se: 0.755 0.703 0.979
Se: 0.245 0.297 0.021
Se: 0.738 0.715 0.477
Se: 0.776 0.297 0.552
Se: 0.776 0.297 0.021

Record 3
VASP calculation (PBE-GGA) on crystalline Pm3MnTl3Se8 at its relaxed geometry.

Results
total magnetic moment: 3.11 μB/f.u.

Lattice parameters (Å, degrees): 8.315 8.314 9.186 116.90 90.01 120.01
Element x y z (fractional)
Pm: 0.500 0.000 0.500
Pm: 0.500 0.500 0.500
Pm: 0.000 0.500 0.500
Mn: 0.000 0.000 0.500
Tl: 0.000 0.000 0.000
Tl: 0.000 0.500 0.000
Tl: 0.500 0.500 0.000
Se: 0.262 0.525 0.287
Se: 0.738 0.475 0.713
Se: 0.789 0.578 0.309
Se: 0.211 0.422 0.691
Se: 0.789 0.020 0.309
Se: 0.211 0.980 0.691
Se: 0.231 0.020 0.309
Se: 0.769 0.980 0.691

Record 4
VASP calculation (PBE-GGA) on crystalline PmMnTl2Se4 at its relaxed geometry.

Results
total magnetic moment: 4.23 μB/f.u.

Lattice parameters (Å, degrees): 8.531 8.531 8.646 120.45 120.45 89.96
Element x y z (fractional)
Pm: 0.000 0.500 0.000
Pm: 0.000 0.500 0.500
Mn: 0.500 0.500 0.500
Mn: 0.000 0.000 0.000
Tl: 0.500 0.000 0.000
Tl: 0.500 0.000 0.500
Tl: 0.000 0.000 0.500
Tl: 0.500 0.500 0.000
Se: 0.210 0.755 0.983
Se: 0.745 0.290 0.517
Se: 0.255 0.710 0.483
Se: 0.790 0.245 0.017
Se: 0.757 0.744 0.954
Se: 0.756 0.743 0.546
Se: 0.244 0.257 0.454
Se: 0.243 0.256 0.046

Record 5
VASP calculation (PBE-GGA) on crystalline Pm2TmMnSe5 at its relaxed geometry.

Results
total magnetic moment: 4.23 μB/f.u.

Lattice parameters (Å, degrees): 4.048 9.002 12.313 90.00 90.00 102.99
Element x y z (fractional)
Pm: 0.873 0.746 0.813
Pm: 0.113 0.225 0.689
Pm: 0.127 0.254 0.313
Pm: 0.887 0.775 0.189
Tm: 0.803 0.607 0.513
Tm: 0.197 0.393 0.013
Mn: 0.557 0.114 0.949
Mn: 0.443 0.886 0.449
Se: 0.358 0.716 0.002
Se: 0.689 0.377 0.851
Se: 0.496 0.992 0.772
Se: 0.288 0.576 0.673
Se: 0.957 0.913 0.563
Se: 0.642 0.284 0.502
Se: 0.311 0.623 0.351
Se: 0.504 0.008 0.272
Se: 0.712 0.424 0.173
Se: 0.043 0.087 0.063

Record 6
VASP calculation (PBE-GGA) on crystalline PmMn2Si3 at its relaxed geometry.

Results
total magnetic moment: 1.85 μB/f.u.

Lattice parameters (Å, degrees): 5.132 6.094 6.094 105.04 90.00 90.00
Element x y z (fractional)
Pm: 0.250 0.336 0.336
Pm: 0.750 0.664 0.664
Mn: 0.500 0.801 0.199
Mn: 0.000 0.801 0.199
Mn: 0.000 0.199 0.801
Mn: 0.500 0.199 0.801
Si: 0.750 0.471 0.092
Si: 0.750 0.092 0.471
Si: 0.250 0.529 0.908
Si: 0.750 0.069 0.069
Si: 0.250 0.931 0.931
Si: 0.250 0.908 0.529

Record order is preserved below.
Formation energy without anion corrections: -13.7 -17.5 -16.7 -6.4 -13.8 -3.2 eV per formula unit